A geometry-optimized CeBeZn2Au4 structure, computed with PBE.

Cell lengths 4.4516, 4.4516, 25.4899 Å; angles 90.00, 90.00, 120.00 degrees
Space group R-3m (No. 166, hexagonal axes)
One atom of each set of equivalent atoms:
Ce 0.0000 0.0000 0.0000 [3 per cell]
Be 0.0000 0.0000 0.5000 [3 per cell]
Zn 0.0000 0.0000 0.2442 [6 per cell]
Au 0.0000 0.0000 0.1360 [6 per cell]
Au 0.0000 0.0000 0.4024 [6 per cell]

Values from the calculation:
**Electronic total energy**: -3.497 eV per atom
**Total magnetization**: 0.0962 μB per atom